5
Lattice="-4.777 -1.107 -1.660 1.120 -5.052 0.145 -1.583 -0.216 4.699" Properties=species:S:1:pos:R:3 comment="In2MoIrW PBE-GGA optimized geometry" magmom_total_mub_per_cell=2.042 e_tot_ry_per_atom=-0.4433 dos_at_fermi_per_ev_cell=3.8 pbc="T T T"
W -2.620 -3.187 1.592
Mo -0.791 -0.108 2.349
In 0.560 -2.526 0.072
In -2.388 -0.553 -0.830
Ir 0.000 0.000 0.000